MnReAg: optimized geometry, PBE-GGA.

```
data_MnReAg
_symmetry_space_group_name_H-M 'I m m 2'
_symmetry_Int_Tables_number 44
_cell_length_a 2.801
_cell_length_b 3.574
_cell_length_c 9.054
_cell_angle_alpha 90.00
_cell_angle_beta 90.00
_cell_angle_gamma 90.00
loop_
_symmetry_equiv_pos_as_xyz
'x,y,z'
'-x,-y,z'
'-x,y,z'
'x,-y,z'
'x+1/2,y+1/2,z+1/2'
'-x+1/2,-y+1/2,z+1/2'
'-x+1/2,y+1/2,z+1/2'
'x+1/2,-y+1/2,z+1/2'
loop_
_atom_site_label
_atom_site_fract_x
_atom_site_fract_y
_atom_site_fract_z
Mn1 0.000 0.000 0.000
Re1 0.000 0.000 0.624
Ag1 0.000 0.000 0.317
```

E_form   0.531 eV per atom

TeIr2Ru: optimized geometry, PBE-GGA.

```
data_TeIr2Ru
_symmetry_space_group_name_H-M 'C m m m'
_symmetry_Int_Tables_number 65
_symmetry_space_group_name_Hall '-C 2 2'
_cell_length_a 5.542
_cell_length_b 7.875
_cell_length_c 2.965
_cell_angle_alpha 90.00
_cell_angle_beta 90.00
_cell_angle_gamma 90.00
loop_
_atom_site_label
_atom_site_fract_x
_atom_site_fract_y
_atom_site_fract_z
Te1 0.000 0.000 0.000
Ir1 0.250 0.250 0.500
Ru1 0.000 0.500 0.000
```

ΔE_f (raw)   0.417 eV/atom

Mg4Ga3Hg2: optimized geometry, PBE-GGA.

```
data_Mg4Ga3Hg2
_symmetry_space_group_name_H-M 'C 1 2/m 1'
_symmetry_Int_Tables_number 12
_cell_length_a 8.282
_cell_length_b 4.788
_cell_length_c 9.356
_cell_angle_alpha 90.00
_cell_angle_beta 90.00
_cell_angle_gamma 90.00
loop_
_symmetry_equiv_pos_as_xyz
'x,y,z'
'-x,-y,-z'
'-x,y,-z'
'x,-y,z'
'x+1/2,y+1/2,z'
'-x+1/2,-y+1/2,-z'
'-x+1/2,y+1/2,-z'
'x+1/2,-y+1/2,z'
loop_
_atom_site_label
_atom_site_fract_x
_atom_site_fract_y
_atom_site_fract_z
Mg1 0.002 0.000 0.329
Mg2 0.165 0.500 0.882
Ga1 0.000 0.000 0.000
Ga2 0.166 0.500 0.531
Hg1 0.168 0.500 0.207
```

E_form   -0.136 eV per atom

HfAgSn2: optimized geometry, PBE-GGA.

```
data_HfAgSn2
_symmetry_space_group_name_H-M 'P 4/m m m'
_symmetry_Int_Tables_number 123
_symmetry_space_group_name_Hall '-P 4 2'
_cell_length_a 3.701
_cell_length_b 3.701
_cell_length_c 6.449
_cell_angle_alpha 90.00
_cell_angle_beta 90.00
_cell_angle_gamma 90.00
loop_
_atom_site_label
_atom_site_fract_x
_atom_site_fract_y
_atom_site_fract_z
Hf1 0.000 0.000 0.000
Ag1 0.000 0.000 0.500
Sn1 0.500 0.500 0.254
```

E_form   0.007 eV per atom